1.
Entry from Alexandria: TaSiTe3 after structural relaxation (GGA-PBE).

Computed properties:
The final energy is -4.671 eV per atom. The uncorrected formation energy is 0.669 eV per atom. The energy relative to the lowest polymorph listed for this composition comes out at 0 meV/atom.

a = 5.402 Å, b = 5.402 Å, c = 5.402 Å
α = 90.00°, β = 90.00°, γ = 90.00°
Each line ends with the local moment (μB).
Element x y z (fractional)
1 Si 0.500 0.500 0.500  0.31
2 Te 0.000 0.500 0.000  -0.07
3 Te 0.000 0.000 0.500  -0.07
4 Te 0.500 0.000 0.000  -0.07
5 Ta 0.000 0.000 0.000  0.32

2.
Entry from Alexandria: K2AgSb after structural relaxation (GGA-PBE).

Computed properties:
The final energy is -2.197 eV per atom. The uncorrected formation energy is 0.095 eV per atom.

a = 10.969 Å, b = 10.969 Å, c = 10.969 Å
α = 20.22°, β = 20.22°, γ = 20.22°
Element x y z (fractional)
1 Ag 0.750 0.750 0.750
2 K 0.002 0.002 0.002
3 K 0.498 0.498 0.498
4 Sb 0.250 0.250 0.250